Compound: LaNd5Ho
Source: the Alexandria database
Functional: GGA-PBE
Structure: relaxed Values from VASP.

Quantum ESPRESSO input file:
```
&SYSTEM
  ibrav = 0, nat = 7, ntyp = 3
/
ATOMIC_SPECIES
Nd 144.24 Nd.upf
Ho 164.93 Ho.upf
La 138.91 La.upf
CELL_PARAMETERS angstrom
-1.590 0.499 5.652
-7.056 -3.632 1.408
0.784 -7.004 3.911
ATOMIC_POSITIONS angstrom
Nd -3.136 -5.318 2.659
Nd -1.426 -6.146 6.285
Nd -2.757 -2.276 5.569
Nd -5.105 -7.861 5.402
Nd -6.436 -3.991 4.685
Ho -3.931 -5.069 5.485
La 0.000 0.000 0.000
```

Space group = Immm (71)
Energy above the lowest structure with this stoichiometry = 5.39 eV per formula unit

---

Compound: La5NdHo4
Source: the Alexandria database
Functional: GGA-PBE
Structure: relaxed Values from VASP.

Quantum ESPRESSO input file:
```
&SYSTEM
  ibrav = 0, nat = 10, ntyp = 3
/
ATOMIC_SPECIES
La 138.91 La.upf
Ho 164.93 Ho.upf
Nd 144.24 Nd.upf
CELL_PARAMETERS angstrom
3.703 0.000 0.000
0.000 3.703 0.000
0.000 0.000 25.154
ATOMIC_POSITIONS angstrom
La 1.851 1.851 7.605
La 1.851 1.851 17.549
La 1.851 1.851 2.606
La 1.851 1.851 22.548
La 1.851 1.851 12.577
Ho 0.000 0.000 15.063
Ho 0.000 0.000 20.037
Ho 0.000 0.000 5.117
Ho 0.000 0.000 10.091
Nd 0.000 0.000 0.000
```

Space group = P4/mmm (123)
Electronic total energy = -4.748 eV/atom

---

Compound: La8Nd5Ho
Source: the Alexandria database
Functional: GGA-PBE
Structure: relaxed Values from VASP.

Quantum ESPRESSO input file:
```
&SYSTEM
  ibrav = 0, nat = 14, ntyp = 3
/
ATOMIC_SPECIES
La 138.91 La.upf
Nd 144.24 Nd.upf
Ho 164.93 Ho.upf
CELL_PARAMETERS angstrom
8.740 -0.049 0.085
-3.004 8.208 -0.085
-2.733 -4.175 7.177
ATOMIC_POSITIONS angstrom
La -0.065 3.857 5.897
La 2.056 3.820 1.865
La -2.837 4.059 3.364
La 6.013 -1.943 4.839
La 0.919 0.336 3.181
La 2.047 -0.609 6.641
La -0.859 5.718 0.438
La 4.742 0.698 2.484
Nd -1.046 1.981 0.904
Nd 3.004 -2.112 3.631
Nd -0.515 -3.234 7.003
Nd 4.430 6.577 1.275
Nd 3.139 2.644 5.172
Ho -1.366 0.961 5.362
```

Space group = I-4 (82)
Electronic total energy = -4.624 eV/atom

---

Compound: LaNd2Ho5
Source: the Alexandria database
Functional: GGA-PBE
Structure: relaxed Values from VASP.

Quantum ESPRESSO input file:
```
&SYSTEM
  ibrav = 0, nat = 8, ntyp = 3
/
ATOMIC_SPECIES
Ho 164.93 Ho.upf
Nd 144.24 Nd.upf
La 138.91 La.upf
CELL_PARAMETERS angstrom
3.505 0.000 -0.696
-0.946 10.119 -4.760
-0.119 -2.209 8.558
ATOMIC_POSITIONS angstrom
Ho 1.803 3.497 -0.096
Ho 1.370 8.130 -2.275
Ho 1.071 -0.220 5.378
Ho 0.638 4.413 3.198
Ho -0.473 5.060 -2.380
Nd 2.318 1.383 2.480
Nd 0.122 6.528 0.623
La 0.000 0.000 0.000
```

Space group = Immm (71)
Energy above the lowest structure with this stoichiometry = 0.09 eV per formula unit

---

Compound: La2Nd12Ho5
Source: the Alexandria database
Functional: GGA-PBE
Structure: relaxed Values from VASP.

Quantum ESPRESSO input file:
```
&SYSTEM
  ibrav = 0, nat = 19, ntyp = 3
/
ATOMIC_SPECIES
La 138.91 La.upf
Ho 164.93 Ho.upf
Nd 144.24 Nd.upf
CELL_PARAMETERS angstrom
-2.118 -0.101 -9.315
9.886 -5.617 2.712
-8.419 -2.303 1.939
ATOMIC_POSITIONS angstrom
La -0.684 -0.033 -3.009
La -1.434 -0.069 -6.306
Ho -5.604 -4.732 -3.573
Ho 4.952 -3.288 -1.090
Ho -0.126 -5.036 0.084
Ho -4.210 -1.151 0.970
Ho -0.526 -2.985 -4.747
Nd -6.161 -3.479 -0.441
Nd 3.086 -4.565 1.804
Nd -3.737 -3.455 -6.468
Nd -3.789 -1.166 -4.025
Nd -0.593 -1.496 0.151
Nd 5.509 -4.542 -4.222
Nd -7.466 -3.542 -6.182
Nd 6.815 -4.479 1.518
Nd 3.137 -6.854 -0.639
Nd 2.024 -4.616 -2.866
Nd -0.058 -6.525 -4.815
Nd -2.675 -3.404 -1.798
```

Space group = C2/m (12)
Energy above the lowest structure with this stoichiometry = 1.29 eV per formula unit

---

Compound: La2NdHo
Source: the Alexandria database
Functional: GGA-PBE
Structure: relaxed Values from VASP.

Quantum ESPRESSO input file:
```
&SYSTEM
  ibrav = 0, nat = 4, ntyp = 3
/
ATOMIC_SPECIES
Ho 164.93 Ho.upf
La 138.91 La.upf
Nd 144.24 Nd.upf
CELL_PARAMETERS angstrom
3.707 0.000 0.000
0.000 3.707 0.000
0.000 0.000 10.205
ATOMIC_POSITIONS angstrom
Ho 1.853 1.853 0.000
La 0.000 0.000 7.706
La 0.000 0.000 2.499
Nd 1.853 1.853 5.102
```

Space group = P4/mmm (123)
Energy above the lowest structure with this stoichiometry = 0.04 eV per formula unit

---

Compound: La3Nd2Ho
Source: the Alexandria database
Functional: GGA-PBE
Structure: relaxed Values from VASP.

Quantum ESPRESSO input file:
```
&SYSTEM
  ibrav = 0, nat = 12, ntyp = 3
/
ATOMIC_SPECIES
La 138.91 La.upf
Nd 144.24 Nd.upf
Ho 164.93 Ho.upf
CELL_PARAMETERS angstrom
-1.280 1.470 2.878
-5.838 -3.562 -0.777
6.877 -13.436 9.925
ATOMIC_POSITIONS angstrom
La -0.121 -7.764 6.013
La 3.278 -9.983 6.560
La -0.929 -2.608 3.019
La -2.240 -7.015 2.588
La 0.000 0.000 0.000
La 0.687 -12.920 9.007
Nd 0.197 -11.352 5.888
Nd 3.843 -11.506 9.688
Nd -4.085 -4.022 2.337
Nd 0.841 -5.647 3.260
Ho 3.438 -6.718 4.963
Ho -3.559 -1.046 1.050
```

Space group = Pnnm (58)
Energy above the lowest structure with this stoichiometry = 1.23 eV per formula unit

---

Compound: La3NdHo3
Source: the Alexandria database
Functional: GGA-PBE
Structure: relaxed Values from VASP.

Quantum ESPRESSO input file:
```
&SYSTEM
  ibrav = 0, nat = 14, ntyp = 3
/
ATOMIC_SPECIES
Ho 164.93 Ho.upf
La 138.91 La.upf
Nd 144.24 Nd.upf
CELL_PARAMETERS angstrom
-2.358 -5.070 6.212
-0.803 -7.848 -2.761
6.428 -4.686 2.565
ATOMIC_POSITIONS angstrom
Ho 4.193 -12.413 5.254
Ho 2.345 -13.690 2.521
Ho 0.711 -12.951 5.571
Ho -0.926 -5.190 0.762
Ho 2.556 -4.652 0.445
Ho 0.923 -3.913 3.494
La 3.603 -11.107 0.486
La 4.852 -6.676 2.186
La -0.336 -6.496 5.530
La 3.758 -9.085 6.319
La -1.585 -10.927 3.830
La -0.490 -8.518 -0.303
Nd 1.932 -10.409 3.557
Nd 1.335 -7.194 2.459
```

Space group = R-3 (148)
Energy above the lowest structure with this stoichiometry = 0.66 eV per formula unit

---

Compound: La5Nd4Ho3
Source: the Alexandria database
Functional: GGA-PBE
Structure: relaxed Values from VASP.

Quantum ESPRESSO input file:
```
&SYSTEM
  ibrav = 0, nat = 12, ntyp = 3
/
ATOMIC_SPECIES
Nd 144.24 Nd.upf
Ho 164.93 Ho.upf
La 138.91 La.upf
CELL_PARAMETERS angstrom
-2.697 -2.319 4.629
-9.533 -0.107 -1.927
3.772 -8.924 1.409
ATOMIC_POSITIONS angstrom
Nd -2.818 -3.772 3.830
Nd -5.639 -7.577 0.280
Nd -6.737 -1.501 -0.996
Nd -1.721 -9.848 5.107
Ho -1.929 -7.578 2.442
Ho -6.529 -3.771 1.669
Ho -2.880 -4.515 -0.259
La -8.606 -7.050 2.497
La 0.148 -4.299 1.614
La -5.124 -9.942 3.077
La -3.334 -1.407 1.033
La -4.229 -5.674 2.055
```

Space group = C2/m (12)
Electronic total energy = -4.558 eV/atom

---

Compound: LaNd7Ho4
Source: the Alexandria database
Functional: GGA-PBE
Structure: relaxed Values from VASP.

Quantum ESPRESSO input file:
```
&SYSTEM
  ibrav = 0, nat = 12, ntyp = 3
/
ATOMIC_SPECIES
Nd 144.24 Nd.upf
Ho 164.93 Ho.upf
La 138.91 La.upf
CELL_PARAMETERS angstrom
-2.291 -3.682 -5.913
0.012 -9.071 -3.449
-6.948 -3.299 4.747
ATOMIC_POSITIONS angstrom
Nd -2.394 -7.739 -1.050
Nd -6.832 -8.313 -3.566
Nd -1.734 -7.315 -6.177
Nd -1.145 -1.841 -2.956
Nd -4.109 -5.996 -3.772
Nd -7.492 -8.737 1.562
Nd -5.118 -10.056 -0.843
Ho -2.975 -4.123 -0.828
Ho -6.251 -11.929 -3.787
Ho -5.690 -6.435 -0.560
Ho -3.536 -9.617 -4.055
La 0.000 0.000 0.000
```

Space group = P-1 (2)
Energy above the lowest structure with this stoichiometry = 0.00 eV per formula unit

---

Compound: LaNd4Ho5
Source: the Alexandria database
Functional: GGA-PBE
Structure: relaxed Values from VASP.

Quantum ESPRESSO input file:
```
&SYSTEM
  ibrav = 0, nat = 10, ntyp = 3
/
ATOMIC_SPECIES
Ho 164.93 Ho.upf
La 138.91 La.upf
Nd 144.24 Nd.upf
CELL_PARAMETERS angstrom
3.378 -0.086 -1.287
-0.332 7.067 -1.339
-0.464 0.792 13.967
ATOMIC_POSITIONS angstrom
Ho 2.607 3.213 6.632
Ho 0.136 1.024 5.367
Ho -0.025 4.560 4.708
Ho 1.523 3.490 -1.313
Ho 2.446 6.748 5.973
La 1.689 -0.043 -0.644
Nd 1.903 1.990 9.948
Nd 0.679 5.783 1.393
Nd 0.839 2.284 2.056
Nd 1.743 5.488 9.284
```

Space group = C2/m (12)
Electronic total energy = -4.670 eV/atom

---

Compound: La6NdHo4
Source: the Alexandria database
Functional: GGA-PBE
Structure: relaxed Values from VASP.

Quantum ESPRESSO input file:
```
&SYSTEM
  ibrav = 0, nat = 22, ntyp = 3
/
ATOMIC_SPECIES
La 138.91 La.upf
Nd 144.24 Nd.upf
Ho 164.93 Ho.upf
CELL_PARAMETERS angstrom
5.929 0.000 0.000
-2.964 4.936 0.000
0.000 0.000 26.359
ATOMIC_POSITIONS angstrom
La 2.964 0.436 19.769
La 0.000 1.293 8.407
La 0.000 4.500 6.590
La 2.964 3.039 2.544
La 2.964 3.644 21.586
La 2.964 0.000 0.000
La 0.000 1.293 4.773
La 0.000 1.897 15.724
La 0.000 1.897 23.815
La 2.964 3.644 17.952
La 2.964 3.039 10.635
La 2.964 0.000 13.180
Nd 0.000 2.008 19.769
Nd 2.964 2.928 6.590
Ho 0.000 4.606 9.894
Ho 2.964 3.410 14.380
Ho 2.964 0.330 23.073
Ho 0.000 1.526 11.979
Ho 0.000 1.526 1.201
Ho 0.000 4.606 3.286
Ho 2.964 0.330 16.466
Ho 2.964 3.410 25.158
```

Space group = Cmcm (63)
Electronic total energy = -4.687 eV/atom

---

no.,calculated volume (Å³ per cell)
1,317
2,345
3,514
4,264
5,667
6,140
7,432
8,494
9,428
10,410
11,333
12,771